{
  "formula": "HfOF2",
  "functional": "PBE",
  "state": "optimized geometry",
  "lattice": [[5.058, 0.000, 0.000], [0.000, 6.680, 0.000], [-0.915, 0.000, 5.167]],
  "species": ["Hf", "Hf", "Hf", "Hf", "O", "O", "O", "O", "F", "F", "F", "F", "F", "F", "F", "F"],
  "frac_coords": [[0.032, 0.000, 0.123], [0.425, 0.217, 0.638], [0.575, 0.717, 0.362], [0.968, 0.500, 0.877], [0.145, 0.209, 0.868], [0.308, 0.935, 0.453], [0.692, 0.435, 0.547], [0.855, 0.709, 0.132], [0.103, 0.260, 0.341], [0.271, 0.527, 0.661], [0.316, 0.521, 0.166], [0.327, 0.841, 0.999], [0.673, 0.341, 0.001], [0.684, 0.021, 0.834], [0.729, 0.027, 0.339], [0.897, 0.760, 0.659]],
  "magmom_total_mub_per_fu": 0.001,
  "density_g_cm3": 8.8,
  "sg": "P2_1, No. 4",
  "final_energy_ry_per_atom": -0.604
}

***

{
  "formula": "MgTlCoPb",
  "functional": "PBE",
  "state": "optimized geometry",
  "lattice": [[0.000, 3.454, 3.454], [3.454, 0.000, 3.454], [3.454, 3.454, 0.000]],
  "species": ["Mg", "Tl", "Co", "Pb"],
  "frac_coords": [[0.000, 0.000, 0.000], [0.750, 0.750, 0.750], [0.500, 0.500, 0.500], [0.250, 0.250, 0.250]],
  "magmom_total_mub_per_fu": 1.155,
  "density_g_cm3": 10.0,
  "relative_energy_mev_per_atom": 0,
  "sg": "F-43m, No. 216",
  "final_energy_ry_per_atom": -0.242
}

***

{
  "formula": "SrPtNO",
  "functional": "PBE",
  "state": "optimized geometry",
  "lattice": [[3.708, 0.000, 0.000], [0.000, 5.867, 0.000], [0.000, 0.000, 5.776]],
  "species": ["Sr", "Sr", "Pt", "Pt", "N", "N", "O", "O"],
  "frac_coords": [[0.000, 0.174, 0.000], [0.000, 0.826, 0.500], [0.500, 0.335, 0.504], [0.500, 0.665, 0.004], [0.000, 0.357, 0.527], [0.000, 0.643, 0.027], [0.500, 0.051, 0.277], [0.500, 0.949, 0.777]],
  "magmom_total_mub_per_fu": 0.002,
  "density_g_cm3": 8.3,
  "relative_energy_mev_per_atom": 0,
  "sg": "Pmc2_1, No. 26",
  "final_energy_ry_per_atom": -0.447
}

***

{
  "formula": "Sc2Cu2Ge",
  "functional": "PBE",
  "state": "optimized geometry",
  "lattice": [[-1.848, 1.848, 6.272], [1.848, -1.848, 6.272], [1.848, 1.848, -6.272]],
  "species": ["Sc", "Sc", "Cu", "Cu", "Ge"],
  "frac_coords": [[0.103, 0.103, 0.000], [0.897, 0.897, 0.000], [0.250, 0.750, 0.500], [0.750, 0.250, 0.500], [0.500, 0.500, 0.000]],
  "magmom_total_mub_per_fu": 0.002,
  "density_g_cm3": 5.6,
  "sg": "I4/mmm, No. 139",
  "final_energy_ry_per_atom": -0.361
}

***

{
  "formula": "TaZnCoW",
  "functional": "PBE",
  "state": "optimized geometry",
  "lattice": [[0.000, 3.106, 3.106], [3.106, 0.000, 3.106], [3.106, 3.106, 0.000]],
  "species": ["Ta", "Zn", "Co", "W"],
  "frac_coords": [[0.000, 0.000, 0.000], [0.500, 0.500, 0.500], [0.750, 0.750, 0.750], [0.250, 0.250, 0.250]],
  "magmom_total_mub_per_fu": 1.723,
  "density_g_cm3": 13.6,
  "relative_energy_mev_per_atom": 0,
  "sg": "F-43m, No. 216",
  "final_energy_ry_per_atom": -0.587
}

***

{
  "formula": "TaS3",
  "functional": "PBE",
  "state": "optimized geometry",
  "lattice": [[9.827, 0.000, 0.000], [0.000, 3.360, 0.000], [-4.786, 0.000, 14.086]],
  "species": ["Ta", "Ta", "Ta", "Ta", "Ta", "Ta", "S", "S", "S", "S", "S", "S", "S", "S", "S", "S", "S", "S", "S", "S", "S", "S", "S", "S"],
  "frac_coords": [[0.023, 0.250, 0.382], [0.343, 0.250, 0.041], [0.388, 0.250, 0.704], [0.612, 0.750, 0.296], [0.657, 0.750, 0.959], [0.977, 0.750, 0.618], [0.061, 0.750, 0.267], [0.125, 0.250, 0.565], [0.169, 0.750, 0.068], [0.179, 0.750, 0.930], [0.224, 0.750, 0.403], [0.228, 0.750, 0.747], [0.406, 0.750, 0.585], [0.414, 0.250, 0.223], [0.460, 0.250, 0.906], [0.540, 0.750, 0.094], [0.586, 0.750, 0.777], [0.594, 0.250, 0.415], [0.772, 0.250, 0.253], [0.776, 0.250, 0.597], [0.821, 0.250, 0.070], [0.831, 0.250, 0.932], [0.875, 0.750, 0.435], [0.939, 0.250, 0.733]],
  "magmom_total_mub_per_fu": 0.000,
  "density_g_cm3": 5.9,
  "sg": "P2_1/m, No. 11",
  "final_energy_ry_per_atom": -0.504
}

***

{
  "formula": "YSn2IrPt",
  "functional": "PBE",
  "state": "optimized geometry",
  "lattice": [[4.371, 0.000, 0.000], [0.000, 4.371, 0.000], [0.000, 0.000, 11.305]],
  "species": ["Y", "Y", "Sn", "Sn", "Sn", "Sn", "Ir", "Ir", "Pt", "Pt"],
  "frac_coords": [[0.250, 0.250, 0.232], [0.750, 0.750, 0.768], [0.250, 0.250, 0.869], [0.250, 0.750, 0.500], [0.750, 0.250, 0.500], [0.750, 0.750, 0.131], [0.250, 0.750, 0.000], [0.750, 0.250, 0.000], [0.250, 0.250, 0.642], [0.750, 0.750, 0.358]],
  "magmom_total_mub_per_fu": 0.000,
  "density_g_cm3": 11.0,
  "sg": "P4/nmm, No. 129",
  "final_energy_ry_per_atom": -0.480
}

***

{
  "formula": "CsHoZnTe2Se",
  "functional": "PBE",
  "state": "optimized geometry",
  "lattice": [[2.172, -8.447, 0.000], [2.172, 8.447, 0.000], [0.000, 0.000, 11.260]],
  "species": ["Cs", "Cs", "Ho", "Ho", "Zn", "Zn", "Te", "Te", "Te", "Te", "Se", "Se"],
  "frac_coords": [[0.233, 0.767, 0.750], [0.767, 0.233, 0.250], [0.500, 0.500, 0.000], [0.500, 0.500, 0.500], [0.039, 0.961, 0.250], [0.961, 0.039, 0.750], [0.124, 0.876, 0.053], [0.124, 0.876, 0.447], [0.876, 0.124, 0.553], [0.876, 0.124, 0.947], [0.453, 0.547, 0.250], [0.547, 0.453, 0.750]],
  "magmom_total_mub_per_fu": 0.004,
  "density_g_cm3": 5.6,
  "sg": "Cmcm, No. 63",
  "final_energy_ry_per_atom": -0.290
}

***

{
  "formula": "Pm2GaSn",
  "functional": "PBE",
  "state": "optimized geometry",
  "lattice": [[6.180, 0.000, 0.000], [0.000, 4.241, 0.000], [-2.763, 0.000, 8.506]],
  "species": ["Pm", "Pm", "Pm", "Pm", "Ga", "Ga", "Sn", "Sn"],
  "frac_coords": [[0.200, 0.250, 0.425], [0.282, 0.750, 0.065], [0.718, 0.250, 0.935], [0.800, 0.750, 0.575], [0.127, 0.250, 0.792], [0.873, 0.750, 0.208], [0.369, 0.750, 0.711], [0.631, 0.250, 0.289]],
  "magmom_total_mub_per_fu": 0.206,
  "density_g_cm3": 7.1,
  "sg": "P2_1/m, No. 11",
  "final_energy_ry_per_atom": -0.356
}

***

{
  "formula": "PaTlAgSe3",
  "functional": "PBE",
  "state": "optimized geometry",
  "lattice": [[2.104, -7.280, 0.000], [2.104, 7.280, 0.000], [0.000, 0.000, 10.892]],
  "species": ["Pa", "Pa", "Tl", "Tl", "Ag", "Ag", "Se", "Se", "Se", "Se", "Se", "Se"],
  "frac_coords": [[0.000, 0.000, 0.000], [0.000, 0.000, 0.500], [0.255, 0.745, 0.750], [0.745, 0.255, 0.250], [0.451, 0.549, 0.250], [0.549, 0.451, 0.750], [0.068, 0.932, 0.250], [0.368, 0.632, 0.038], [0.368, 0.632, 0.462], [0.632, 0.368, 0.538], [0.632, 0.368, 0.962], [0.932, 0.068, 0.750]],
  "magmom_total_mub_per_fu": 0.998,
  "density_g_cm3": 7.8,
  "sg": "Cmcm, No. 63",
  "final_energy_ry_per_atom": -0.371
}

***

{
  "formula": "BaAgPO",
  "functional": "PBE",
  "state": "optimized geometry",
  "lattice": [[4.490, 0.000, 0.000], [0.000, 4.490, 0.000], [0.000, 0.000, 9.040]],
  "species": ["Ba", "Ba", "Ag", "Ag", "P", "P", "O", "O"],
  "frac_coords": [[0.250, 0.250, 0.135], [0.750, 0.750, 0.865], [0.250, 0.750, 0.500], [0.750, 0.250, 0.500], [0.250, 0.250, 0.629], [0.750, 0.750, 0.371], [0.250, 0.750, 0.000], [0.750, 0.250, 0.000]],
  "density_g_cm3": 5.3,
  "relative_energy_mev_per_atom": 0,
  "sg": "P4/nmm, No. 129",
  "final_energy_ry_per_atom": -0.343
}

***

{
  "formula": "TcSnPt",
  "functional": "PBE",
  "state": "optimized geometry",
  "lattice": [[0.000, 3.128, 3.128], [3.128, 0.000, 3.128], [3.128, 3.128, 0.000]],
  "species": ["Tc", "Sn", "Pt"],
  "frac_coords": [[0.000, 0.000, 0.000], [0.500, 0.500, 0.500], [0.750, 0.750, 0.750]],
  "magmom_total_mub_per_fu": 2.962,
  "density_g_cm3": 11.2,
  "relative_energy_mev_per_atom": 0,
  "sg": "F-43m, No. 216",
  "final_energy_ry_per_atom": -0.490
}

***

{
  "formula": "LiDyCdTe3",
  "functional": "PBE",
  "state": "optimized geometry",
  "lattice": [[2.156, -7.198, 0.000], [2.156, 7.198, 0.000], [0.000, 0.000, 11.609]],
  "species": ["Li", "Li", "Dy", "Dy", "Cd", "Cd", "Te", "Te", "Te", "Te", "Te", "Te"],
  "frac_coords": [[0.214, 0.786, 0.750], [0.786, 0.214, 0.250], [0.000, 0.000, 0.000], [0.000, 0.000, 0.500], [0.479, 0.521, 0.250], [0.521, 0.479, 0.750], [0.105, 0.895, 0.250], [0.355, 0.645, 0.064], [0.355, 0.645, 0.436], [0.645, 0.355, 0.564], [0.645, 0.355, 0.936], [0.895, 0.105, 0.750]],
  "magmom_total_mub_per_fu": 0.001,
  "density_g_cm3": 6.1,
  "sg": "Cmcm, No. 63",
  "final_energy_ry_per_atom": -0.273
}

***

{
  "formula": "TlCuReTeSe2",
  "functional": "PBE",
  "state": "optimized geometry",
  "lattice": [[1.742, -7.989, 0.000], [1.742, 7.989, 0.000], [0.000, 0.000, 10.053]],
  "species": ["Tl", "Tl", "Cu", "Cu", "Re", "Re", "Te", "Te", "Se", "Se", "Se", "Se"],
  "frac_coords": [[0.235, 0.765, 0.750], [0.765, 0.235, 0.250], [0.452, 0.548, 0.250], [0.548, 0.452, 0.750], [0.000, 0.000, 0.000], [0.000, 0.000, 0.500], [0.075, 0.925, 0.250], [0.925, 0.075, 0.750], [0.385, 0.615, 0.040], [0.385, 0.615, 0.460], [0.615, 0.385, 0.540], [0.615, 0.385, 0.960]],
  "magmom_total_mub_per_fu": 0.000,
  "density_g_cm3": 8.8,
  "sg": "Cmcm, No. 63",
  "final_energy_ry_per_atom": -0.350
}

***

{
  "formula": "UOs",
  "functional": "PBE",
  "state": "optimized geometry",
  "lattice": [[0.000, 3.006, 3.006], [3.006, 0.000, 3.006], [3.006, 3.006, 0.000]],
  "species": ["U", "Os"],
  "frac_coords": [[0.000, 0.000, 0.000], [0.250, 0.250, 0.250]],
  "magmom_total_mub_per_fu": 1.817,
  "density_g_cm3": 13.1,
  "sg": "F-43m, No. 216",
  "final_energy_ry_per_atom": -0.746
}

***

{
  "formula": "Tl2HgSb",
  "functional": "PBE",
  "state": "optimized geometry",
  "lattice": [[0.000, 3.837, 3.837], [3.837, 0.000, 3.837], [3.837, 3.837, 0.000]],
  "species": ["Tl", "Tl", "Hg", "Sb"],
  "frac_coords": [[0.000, 0.000, 0.000], [0.250, 0.250, 0.250], [0.750, 0.750, 0.750], [0.500, 0.500, 0.500]],
  "density_g_cm3": 10.7,
  "sg": "F-43m, No. 216",
  "final_energy_ry_per_atom": -0.165
}

***

{
  "formula": "TmTaGe",
  "functional": "PBE",
  "state": "optimized geometry",
  "lattice": [[0.000, 3.207, 3.207], [3.207, 0.000, 3.207], [3.207, 3.207, 0.000]],
  "species": ["Tm", "Ta", "Ge"],
  "frac_coords": [[0.000, 0.000, 0.000], [0.500, 0.500, 0.500], [0.750, 0.750, 0.750]],
  "magmom_total_mub_per_fu": 0.649,
  "density_g_cm3": 10.6,
  "sg": "F-43m, No. 216",
  "final_energy_ry_per_atom": -0.509
}

***

{
  "formula": "PuThTe",
  "functional": "PBE",
  "state": "optimized geometry",
  "lattice": [[0.000, 3.605, 3.605], [3.605, 0.000, 3.605], [3.605, 3.605, 0.000]],
  "species": ["Pu", "Th", "Te"],
  "frac_coords": [[0.000, 0.000, 0.000], [0.500, 0.500, 0.500], [0.250, 0.250, 0.250]],
  "magmom_total_mub_per_fu": 7.102,
  "density_g_cm3": 10.7,
  "relative_energy_mev_per_atom": 0,
  "sg": "F-43m, No. 216",
  "final_energy_ry_per_atom": -0.621
}

***

{
  "formula": "AgPdSO",
  "functional": "PBE",
  "state": "optimized geometry",
  "lattice": [[5.954, 0.000, 0.000], [0.000, 7.269, 0.000], [0.000, 0.000, 5.885]],
  "species": ["Ag", "Ag", "Ag", "Ag", "Pd", "Pd", "Pd", "Pd", "S", "S", "S", "S", "O", "O", "O", "O"],
  "frac_coords": [[0.175, 0.210, 0.000], [0.325, 0.210, 0.500], [0.675, 0.790, 0.000], [0.825, 0.790, 0.500], [0.250, 0.677, 0.252], [0.250, 0.677, 0.752], [0.750, 0.323, 0.252], [0.750, 0.323, 0.752], [0.090, 0.880, 0.002], [0.410, 0.880, 0.502], [0.590, 0.120, 0.002], [0.910, 0.120, 0.502], [0.144, 0.500, 0.002], [0.356, 0.500, 0.502], [0.644, 0.500, 0.002], [0.856, 0.500, 0.502]],
  "density_g_cm3": 6.8,
  "relative_energy_mev_per_atom": 54,
  "sg": "Pca2_1, No. 29",
  "final_energy_ry_per_atom": -0.323
}

***

{
  "formula": "La3Re2Sb3N12",
  "functional": "PBE",
  "state": "optimized geometry",
  "lattice": [[-6.562, 6.562, 6.562], [6.562, -6.562, 6.562], [6.562, 6.562, -6.562]],
  "species": ["La", "La", "La", "La", "La", "La", "La", "La", "La", "La", "La", "La", "Re", "Re", "Re", "Re", "Re", "Re", "Re", "Re", "Sb", "Sb", "Sb", "Sb", "Sb", "Sb", "Sb", "Sb", "Sb", "Sb", "Sb", "Sb", "N", "N", "N", "N", "N", "N", "N", "N", "N", "N", "N", "N", "N", "N", "N", "N", "N", "N", "N", "N", "N", "N", "N", "N", "N", "N", "N", "N", "N", "N", "N", "N", "N", "N", "N", "N", "N", "N", "N", "N", "N", "N", "N", "N", "N", "N", "N", "N"],
  "frac_coords": [[0.125, 0.250, 0.375], [0.125, 0.375, 0.750], [0.250, 0.375, 0.125], [0.250, 0.875, 0.625], [0.375, 0.125, 0.250], [0.375, 0.750, 0.125], [0.625, 0.250, 0.875], [0.625, 0.875, 0.750], [0.750, 0.125, 0.375], [0.750, 0.625, 0.875], [0.875, 0.625, 0.250], [0.875, 0.750, 0.625], [0.000, 0.000, 0.000], [0.000, 0.000, 0.500], [0.000, 0.500, 0.000], [0.000, 0.500, 0.500], [0.500, 0.000, 0.000], [0.500, 0.000, 0.500], [0.500, 0.500, 0.000], [0.500, 0.500, 0.500], [0.125, 0.750, 0.875], [0.125, 0.875, 0.250], [0.250, 0.125, 0.875], [0.250, 0.625, 0.375], [0.375, 0.250, 0.625], [0.375, 0.625, 0.750], [0.625, 0.375, 0.250], [0.625, 0.750, 0.375], [0.750, 0.375, 0.625], [0.750, 0.875, 0.125], [0.875, 0.125, 0.750], [0.875, 0.250, 0.125], [0.023, 0.193, 0.114], [0.023, 0.330, 0.910], [0.080, 0.693, 0.670], [0.080, 0.886, 0.410], [0.090, 0.614, 0.420], [0.090, 0.977, 0.670], [0.114, 0.023, 0.193], [0.114, 0.590, 0.920], [0.170, 0.193, 0.580], [0.170, 0.477, 0.590], [0.193, 0.114, 0.023], [0.193, 0.580, 0.170], [0.307, 0.330, 0.920], [0.307, 0.477, 0.386], [0.330, 0.910, 0.023], [0.330, 0.920, 0.307], [0.386, 0.307, 0.477], [0.386, 0.580, 0.910], [0.410, 0.080, 0.886], [0.410, 0.830, 0.523], [0.420, 0.090, 0.614], [0.420, 0.830, 0.807], [0.477, 0.386, 0.307], [0.477, 0.590, 0.170], [0.523, 0.410, 0.830], [0.523, 0.614, 0.693], [0.580, 0.170, 0.193], [0.580, 0.910, 0.386], [0.590, 0.170, 0.477], [0.590, 0.920, 0.114], [0.614, 0.420, 0.090], [0.614, 0.693, 0.523], [0.670, 0.080, 0.693], [0.670, 0.090, 0.977], [0.693, 0.523, 0.614], [0.693, 0.670, 0.080], [0.807, 0.420, 0.830], [0.807, 0.886, 0.977], [0.830, 0.523, 0.410], [0.830, 0.807, 0.420], [0.886, 0.410, 0.080], [0.886, 0.977, 0.807], [0.910, 0.023, 0.330], [0.910, 0.386, 0.580], [0.920, 0.114, 0.590], [0.920, 0.307, 0.330], [0.977, 0.670, 0.090], [0.977, 0.807, 0.886]],
  "magmom_total_mub_per_fu": 0.000,
  "density_g_cm3": 7.8,
  "sg": "Ia-3d, No. 230",
  "final_energy_ry_per_atom": -0.572
}